Record 1
The following is a DFT calculation (PBE) of a geometry-optimized Rb3LiPb structure.

Results
The value obtained for the formation enthalpy at 0 K is 1.2 eV per formula unit. The calculation puts the density of states at the Fermi level at 2.07 states/eV per cell. Its space group is No. 221.

The structure in POSCAR format:
```
Rb3LiPb
1.0
-0.946 7.166 0.027
-6.771 -0.885 -2.370
-2.347 -0.335 6.828
Li Rb Pb
1 3 1
direct
0.500 0.500 0.500 Li
0.500 0.000 0.000 Rb
0.000 0.500 0.000 Rb
0.000 0.000 0.500 Rb
0.000 0.000 0.000 Pb
```

***

Record 2
The following is a DFT calculation (PBE) of a geometry-optimized AlCdAg4 structure.

Results
The value obtained for the formation enthalpy at 0 K is -0.1 eV per formula unit. The calculation puts the density of states at the Fermi level at 2.15 states/eV per cell. Its space group is No. 15.

The structure in POSCAR format:
```
AlCdAg4
1.0
-3.935 3.211 1.086
0.211 -5.768 4.812
5.498 4.487 0.738
Al Ag Cd
2 8 2
direct
0.751 0.001 0.002 Al
0.249 0.999 0.998 Al
0.759 0.712 0.621 Ag
0.233 0.594 0.773 Ag
0.960 0.821 0.227 Ag
0.362 0.909 0.621 Ag
0.040 0.179 0.773 Ag
0.638 0.091 0.379 Ag
0.767 0.406 0.227 Ag
0.241 0.288 0.379 Ag
0.652 0.402 0.803 Cd
0.348 0.598 0.197 Cd
```

***

Record 3
The following is a DFT calculation (PBE) of a geometry-optimized TbPr14Cd structure.

Results
The value obtained for the formation enthalpy at 0 K is -0.3 eV per formula unit. The calculation puts the density of states at the Fermi level at 19.60 states/eV per cell. Its space group is No. 123.

The structure in POSCAR format:
```
TbPr14Cd
1.0
-1.576 -6.956 1.578
2.129 1.081 6.903
-9.713 2.782 2.560
Pr Tb Cd
14 1 1
direct
0.375 0.625 0.500 Pr
0.123 0.373 0.755 Pr
0.627 0.373 0.755 Pr
0.875 0.125 0.500 Pr
0.627 0.877 0.245 Pr
0.375 0.125 0.000 Pr
0.375 0.125 0.500 Pr
0.123 0.877 0.245 Pr
0.627 0.877 0.755 Pr
0.627 0.373 0.245 Pr
0.123 0.877 0.755 Pr
0.123 0.373 0.245 Pr
0.875 0.625 0.500 Pr
0.875 0.625 0.000 Pr
0.375 0.625 0.000 Tb
0.875 0.125 0.000 Cd
```

***

Record 4
The following is a DFT calculation (PBE) of a geometry-optimized Mg4TlGa2 structure.

Results
The value obtained for the formation enthalpy at 0 K is -0.4 eV per formula unit. The calculation puts the density of states at the Fermi level at 7.23 states/eV per cell. Its space group is No. 194.

The structure in POSCAR format:
```
Mg4TlGa2
1.0
-1.615 1.198 -4.497
2.781 -4.010 0.631
-11.968 -7.958 2.178
Tl Ga Mg
2 4 8
direct
0.500 0.000 0.250 Tl
0.500 0.000 0.750 Tl
0.167 0.333 0.058 Ga
0.167 0.333 0.442 Ga
0.833 0.667 0.558 Ga
0.833 0.667 0.942 Ga
0.167 0.333 0.250 Mg
0.833 0.666 0.137 Mg
0.833 0.666 0.363 Mg
0.500 0.000 0.500 Mg
0.167 0.334 0.863 Mg
0.833 0.667 0.750 Mg
0.500 0.000 0.000 Mg
0.167 0.334 0.637 Mg
```

***

Record 5
The following is a DFT calculation (PBE) of a geometry-optimized TmPt4Rh structure.

Results
The value obtained for the formation enthalpy at 0 K is -3.2 eV per formula unit. The calculation puts the density of states at the Fermi level at 5.97 states/eV per cell. Its space group is No. 216.

The structure in POSCAR format:
```
TmPt4Rh
1.0
5.292 0.000 0.000
2.646 4.583 0.000
2.646 1.528 4.321
Tm Pt Rh
1 4 1
direct
0.000 0.000 0.000 Tm
0.624 0.624 0.127 Pt
0.624 0.127 0.624 Pt
0.127 0.624 0.624 Pt
0.624 0.624 0.624 Pt
0.250 0.250 0.250 Rh
```

***

Record 6
The following is a DFT calculation (PBE) of a geometry-optimized Sc2Mn3Si structure.

Results
As for the final energy: -47.9 eV per formula unit. The calculation puts the density of states at the Fermi level at 8.03 states/eV per cell. Its space group is No. 194.

The structure in POSCAR format:
```
Sc2Mn3Si
1.0
4.919 0.000 0.000
-2.459 4.260 0.000
0.000 0.000 8.086
Mn Si Sc
6 2 4
direct
0.175 0.350 0.250 Mn
0.175 0.825 0.250 Mn
0.350 0.175 0.750 Mn
0.825 0.650 0.750 Mn
0.650 0.825 0.250 Mn
0.825 0.175 0.750 Mn
0.000 0.000 0.000 Si
0.000 0.000 0.500 Si
0.667 0.333 0.434 Sc
0.333 0.667 0.566 Sc
0.333 0.667 0.934 Sc
0.667 0.333 0.066 Sc
```

***

Record 7
The following is a DFT calculation (PBE) of a geometry-optimized K4OsO6 structure.

Results
As for the final energy: -61.0 eV per formula unit. Its space group is No. 167.

The structure in POSCAR format:
```
K4OsO6
1.0
7.330 0.044 -0.106
0.105 7.330 -0.106
-0.044 -0.044 7.331
O K Os
12 8 2
direct
0.054 0.936 0.244 O
0.256 0.436 0.446 O
0.244 0.946 0.936 O
0.446 0.744 0.436 O
0.744 0.564 0.554 O
0.554 0.256 0.564 O
0.946 0.064 0.756 O
0.936 0.756 0.946 O
0.064 0.244 0.054 O
0.436 0.554 0.744 O
0.564 0.446 0.256 O
0.756 0.054 0.064 O
0.750 0.750 0.250 K
0.750 0.391 0.891 K
0.391 0.109 0.250 K
0.609 0.891 0.750 K
0.250 0.609 0.109 K
0.891 0.250 0.391 K
0.250 0.250 0.750 K
0.109 0.750 0.609 K
0.000 0.000 0.000 Os
0.500 0.500 0.500 Os
```

***

Record 8
The following is a DFT calculation (PBE) of a geometry-optimized La2PrYHo2 structure.

Results
The value obtained for the formation enthalpy at 0 K is 0.4 eV per formula unit. The calculation puts the density of states at the Fermi level at 20.63 states/eV per cell. Its space group is No. 51.

The structure in POSCAR format:
```
La2PrYHo2
1.0
-3.370 -4.171 -2.085
5.423 -4.653 0.543
-2.886 -2.285 9.234
Ho Y La Pr
4 2 4 2
direct
0.000 0.758 0.166 Ho
0.500 0.758 0.666 Ho
0.000 0.258 0.834 Ho
0.500 0.258 0.334 Ho
0.000 0.508 0.500 Y
0.000 0.008 0.500 Y
0.000 0.757 0.824 La
0.000 0.257 0.176 La
0.500 0.508 0.000 La
0.500 0.008 0.000 La
0.500 0.758 0.340 Pr
0.500 0.258 0.660 Pr
```

***

Record 9
The following is a DFT calculation (PBE) of a geometry-optimized CaTbTlRh structure.

Results
The value obtained for the formation enthalpy at 0 K is -2.1 eV per formula unit. The calculation puts the density of states at the Fermi level at 2.62 states/eV per cell. Its space group is No. 99.

The structure in POSCAR format:
```
CaTbTlRh
1.0
3.436 0.000 0.000
0.000 3.436 0.000
0.000 0.000 8.351
Tl Rh Ca Tb
1 1 1 1
direct
0.000 0.000 0.076 Tl
0.000 0.000 0.555 Rh
0.500 0.500 0.784 Ca
0.500 0.500 0.370 Tb
```

***

Record 10
The following is a DFT calculation (PBE) of a geometry-optimized ScCr2Br structure.

Results
As for the final energy: -25.1 eV per formula unit. The calculation puts the density of states at the Fermi level at 3.08 states/eV per cell. Its space group is No. 139.

The structure in POSCAR format:
```
ScCr2Br
1.0
5.526 -0.001 0.000
3.208 4.500 0.000
-4.367 -2.249 2.532
Cr Br Sc
2 1 1
direct
0.000 0.000 0.000 Cr
0.500 0.500 0.000 Cr
0.750 0.250 0.500 Br
0.250 0.750 0.500 Sc
```

***

Record 11
The following is a DFT calculation (PBE) of a geometry-optimized Nd2YHoIn2 structure.

Results
The value obtained for the formation enthalpy at 0 K is -2.2 eV per formula unit. The calculation puts the density of states at the Fermi level at 12.01 states/eV per cell. Its space group is No. 26.

The structure in POSCAR format:
```
Nd2YHoIn2
1.0
-4.664 -1.590 1.846
-0.318 -4.751 -4.894
4.598 -6.504 6.016
In Nd Y Ho
4 4 2 2
direct
0.000 0.294 0.847 In
0.500 0.722 0.636 In
0.500 0.222 0.364 In
0.000 0.794 0.153 In
0.500 0.040 0.038 Nd
0.000 0.817 0.820 Nd
0.500 0.540 0.962 Nd
0.000 0.317 0.180 Nd
0.000 0.975 0.462 Y
0.000 0.475 0.538 Y
0.500 0.197 0.677 Ho
0.500 0.697 0.323 Ho
```

***

Record 12
The following is a DFT calculation (PBE) of a geometry-optimized K6Te2H structure.

Results
As for the final energy: -21.6 eV per formula unit. The calculation puts the density of states at the Fermi level at 3.21 states/eV per cell. Its space group is No. 71.

The structure in POSCAR format:
```
K6Te2H
1.0
-4.592 0.904 3.360
0.793 -7.448 3.088
6.975 6.346 2.886
K Te H
6 2 1
direct
0.165 0.410 0.330 K
0.500 0.760 0.000 K
0.835 0.590 0.670 K
0.165 0.920 0.330 K
0.500 0.240 0.000 K
0.835 0.080 0.670 K
0.337 0.337 0.674 Te
0.663 0.663 0.326 Te
0.000 0.000 0.000 H
```

***

Record 13
The following is a DFT calculation (PBE) of a geometry-optimized TlW5 structure.

Results
The value obtained for the formation enthalpy at 0 K is 4.0 eV per formula unit. The calculation puts the density of states at the Fermi level at 4.01 states/eV per cell. Its space group is No. 216.

The structure in POSCAR format:
```
TlW5
1.0
-0.398 3.869 3.636
-0.225 5.091 -1.543
-4.543 2.733 0.493
W Tl
5 1
direct
0.250 0.250 0.250 W
0.625 0.125 0.625 W
0.625 0.625 0.125 W
0.125 0.625 0.625 W
0.625 0.625 0.625 W
0.000 0.000 0.000 Tl
```

***

Record 14
The following is a DFT calculation (PBE) of a geometry-optimized PrTe2Pd structure.

Results
As for the final energy: -20.1 eV per formula unit. The calculation puts the density of states at the Fermi level at 1.29 states/eV per cell. Its space group is No. 69.

The structure in POSCAR format:
```
PrTe2Pd
1.0
4.927 -0.546 -0.750
-0.890 4.876 -0.750
-0.534 -0.573 9.338
Te Pr Pd
4 2 2
direct
0.500 0.000 0.000 Te
0.322 0.322 0.643 Te
0.000 0.500 0.000 Te
0.678 0.678 0.357 Te
0.127 0.127 0.253 Pr
0.873 0.873 0.747 Pr
0.250 0.750 0.500 Pd
0.750 0.250 0.500 Pd
```

***

Record 15
The following is a DFT calculation (PBE) of a geometry-optimized LiNbNiH2 structure.

Results
As for the final energy: -21.8 eV per formula unit. The calculation puts the density of states at the Fermi level at 2.01 states/eV per cell. Its space group is No. 123.

The structure in POSCAR format:
```
LiNbNiH2
1.0
-2.051 -2.031 1.955
-2.345 -0.866 -3.360
2.034 -2.740 -0.713
Li H Nb Ni
1 2 1 1
direct
0.000 0.000 0.000 Li
0.500 0.000 0.000 H
0.000 0.000 0.500 H
0.500 0.500 0.500 Nb
0.000 0.500 0.000 Ni
```

***

Record 16
The following is a DFT calculation (PBE) of a geometry-optimized CaCdAu4 structure.

Results
The value obtained for the formation enthalpy at 0 K is -2.4 eV per formula unit. The calculation puts the density of states at the Fermi level at 1.20 states/eV per cell. Its space group is No. 65.

The structure in POSCAR format:
```
CaCdAu4
1.0
5.221 -0.071 0.043
0.046 4.545 2.593
-0.040 0.055 5.184
Au Cd Ca
4 1 1
direct
0.501 0.667 0.165 Au
0.001 0.831 0.836 Au
0.501 0.337 0.826 Au
0.001 0.172 0.155 Au
0.001 0.502 0.495 Cd
0.501 0.002 0.495 Ca
```

***

Record 17
The following is a DFT calculation (PBE) of a geometry-optimized LiTiO2 structure.

Results
As for the final energy: -30.1 eV per formula unit. The calculation puts the density of states at the Fermi level at 2.16 states/eV per cell. Its space group is No. 194.

The structure in POSCAR format:
```
LiTiO2
1.0
4.982 0.000 0.000
2.491 1.439 0.000
0.000 0.000 10.229
Ti O Li
2 4 2
direct
0.333 0.001 0.750 Ti
0.667 0.000 0.250 Ti
0.666 0.001 0.629 O
0.334 0.999 0.371 O
0.666 0.001 0.871 O
0.334 0.000 0.129 O
0.000 0.000 0.000 Li
0.000 0.001 0.500 Li
```

***

Record 18
The following is a DFT calculation (PBE) of a geometry-optimized KBaTl2Br8 structure.

Results
As for the final energy: -33.6 eV per formula unit. The calculation puts the density of states at the Fermi level at 8.66 states/eV per cell. Its space group is No. 147.

The structure in POSCAR format:
```
KBaTl2Br8
1.0
-5.769 0.836 4.587
2.511 -6.793 -1.602
6.884 0.525 8.563
Tl Br Ba K
2 8 1 1
direct
0.333 0.667 0.771 Tl
0.667 0.333 0.229 Tl
0.312 0.336 0.302 Br
0.336 0.024 0.698 Br
0.667 0.333 0.987 Br
0.333 0.667 0.013 Br
0.688 0.664 0.698 Br
0.976 0.312 0.698 Br
0.024 0.688 0.302 Br
0.664 0.976 0.302 Br
0.000 0.000 0.500 Ba
0.000 0.000 0.000 K
```

***

Record 19
The following is a DFT calculation (PBE) of a geometry-optimized TbGa3Ni structure.

Results
The value obtained for the formation enthalpy at 0 K is -1.7 eV per formula unit. The calculation puts the density of states at the Fermi level at 5.34 states/eV per cell. Its space group is No. 65.

The structure in POSCAR format:
```
TbGa3Ni
1.0
4.555 0.000 0.000
0.000 6.184 0.000
0.000 0.000 6.775
Ni Ga Tb
2 6 2
direct
0.000 0.500 0.000 Ni
0.000 0.000 0.500 Ni
0.000 0.250 0.250 Ga
0.500 0.500 0.000 Ga
0.500 0.000 0.500 Ga
0.000 0.250 0.750 Ga
0.000 0.750 0.250 Ga
0.000 0.750 0.750 Ga
0.500 0.500 0.500 Tb
0.500 0.000 0.000 Tb
```

***

Record 20
The following is a DFT calculation (PBE) of a geometry-optimized MgZr2Fe structure.

Results
The value obtained for the formation enthalpy at 0 K is 0.2 eV per formula unit. The calculation puts the density of states at the Fermi level at 4.89 states/eV per cell. Its space group is No. 99.

The structure in POSCAR format:
```
MgZr2Fe
1.0
-0.131 -1.301 -2.990
0.128 -2.992 1.296
-7.319 -0.148 0.385
Fe Zr Mg
1 2 1
direct
0.000 0.000 0.483 Fe
0.000 0.000 0.013 Zr
0.500 0.500 0.297 Zr
0.500 0.500 0.707 Mg
```

***

Record 21
The following is a DFT calculation (PBE) of a geometry-optimized Cd2InAgBr6 structure.

Results
As for the final energy: -24.3 eV per formula unit. The calculation puts the density of states at the Fermi level at 0.00 states/eV per cell. Its space group is No. 15.

The structure in POSCAR format:
```
Cd2InAgBr6
1.0
7.955 -0.016 -0.017
2.528 9.761 0.147
2.528 -0.215 9.760
Br In Cd Ag
12 2 4 2
direct
0.171 0.949 0.812 Br
0.521 0.551 0.695 Br
0.434 0.876 0.384 Br
0.979 0.305 0.449 Br
0.329 0.188 0.051 Br
0.934 0.384 0.876 Br
0.829 0.051 0.188 Br
0.671 0.812 0.949 Br
0.566 0.124 0.616 Br
0.479 0.449 0.305 Br
0.066 0.616 0.124 Br
0.021 0.695 0.551 Br
0.250 0.880 0.120 In
0.750 0.120 0.880 In
0.702 0.238 0.385 Cd
0.202 0.385 0.238 Cd
0.298 0.762 0.615 Cd
0.798 0.615 0.762 Cd
0.750 0.779 0.221 Ag
0.250 0.221 0.779 Ag
```

***

Record 22
The following is a DFT calculation (PBE) of a geometry-optimized GaSb2TeO structure.

Results
As for the final energy: -19.1 eV per formula unit. The calculation puts the density of states at the Fermi level at 3.61 states/eV per cell. Its space group is No. 123.

The structure in POSCAR format:
```
GaSb2TeO
1.0
4.671 0.000 0.000
0.000 4.671 0.000
0.000 0.000 5.344
Ga O Te Sb
1 1 1 2
direct
0.500 0.500 0.500 Ga
0.000 0.000 0.000 O
0.000 0.000 0.500 Te
0.500 0.000 0.000 Sb
0.000 0.500 0.000 Sb
```

***

Record 23
The following is a DFT calculation (PBE) of a geometry-optimized CrIn3W structure.

Results
The value obtained for the formation enthalpy at 0 K is 7.4 eV per formula unit. The calculation puts the density of states at the Fermi level at 6.36 states/eV per cell. Its space group is No. 221.

The structure in POSCAR format:
```
CrIn3W
1.0
5.034 0.000 0.000
0.000 5.034 0.000
0.000 0.000 5.034
Cr In W
1 3 1
direct
0.000 0.000 0.000 Cr
0.000 0.500 0.000 In
0.000 0.000 0.500 In
0.500 0.000 0.000 In
0.500 0.500 0.500 W
```